No. 1
A plane-wave DFT calculation with PBE was carried out for Tl2HPdCl6 after structural relaxation.

## Properties
DOS at the Fermi energy	9.01	states/eV per cell
final energy	-3.084	eV per atom

```
Tl2HPdCl6
1.0
9.981 0.000 1.654
0.000 5.810 0.000
2.995 0.000 10.729
Tl H Pd Cl
4 2 2 12
direct
0.932 0.072 0.314 Tl
0.432 0.428 0.814 Tl
0.068 0.928 0.686 Tl
0.568 0.572 0.186 Tl
0.500 0.000 0.000 H
0.000 0.500 0.500 H
0.500 0.000 0.500 Pd
0.000 0.500 0.000 Pd
0.396 0.788 0.053 Cl
0.896 0.712 0.553 Cl
0.604 0.212 0.947 Cl
0.104 0.288 0.447 Cl
0.346 0.749 0.460 Cl
0.846 0.751 0.960 Cl
0.654 0.251 0.540 Cl
0.154 0.249 0.040 Cl
0.882 0.574 0.224 Cl
0.382 0.926 0.724 Cl
0.118 0.426 0.776 Cl
0.618 0.074 0.276 Cl
```

***

No. 2
A plane-wave DFT calculation with PBE was carried out for CoPtPb2 after structural relaxation.

## Properties
formation enthalpy at 0 K	124	kJ/mol of formula units
DOS at the Fermi energy	2.40	states/eV per cell

```
CoPtPb2
1.0
-0.380 -0.276 -3.432
3.358 -0.826 -0.305
1.425 -7.165 0.419
Co Pb Pt
1 2 1
direct
0.500 0.750 0.750 Co
0.000 0.999 0.993 Pb
0.000 0.501 0.507 Pb
0.500 0.250 0.250 Pt
```

***

No. 3
A plane-wave DFT calculation with PBE was carried out for BeNb2As after structural relaxation.

## Properties
formation enthalpy at 0 K	344	kJ/mol of formula units
DOS at the Fermi energy	3.04	states/eV per cell
energy above the lowest structure with this stoichiometry	1377	meV/atom

```
BeNb2As
1.0
4.234 0.000 0.000
2.117 3.667 0.000
2.117 1.222 6.712
Be Nb As
1 2 1
direct
0.000 0.000 0.000 Be
0.127 0.127 0.619 Nb
0.873 0.873 0.381 Nb
0.500 0.500 0.500 As
```

***

No. 4
A plane-wave DFT calculation with PBE was carried out for Hg2Se after structural relaxation.

## Properties
DOS at the Fermi energy	1.89	states/eV per cell
energy above the lowest structure with this stoichiometry	196	meV/atom

```
Hg2Se
1.0
5.734 0.000 0.000
-2.867 4.966 0.000
0.000 0.000 2.799
Hg Se
2 1
direct
0.000 0.000 0.333 Hg
0.667 0.333 0.333 Hg
0.333 0.667 0.333 Se
```

***

No. 5
A plane-wave DFT calculation with PBE was carried out for BaLaCl2 after structural relaxation.

## Properties
DOS at the Fermi energy	3.21	states/eV per cell
energy above the lowest structure with this stoichiometry	108	meV/atom

```
BaLaCl2
1.0
-2.421 -4.351 4.020
-1.256 -4.680 -4.180
4.594 3.343 2.945
Cl Ba La
2 1 1
direct
0.983 0.983 0.000 Cl
0.517 0.517 0.000 Cl
0.250 0.750 0.500 Ba
0.750 0.250 0.500 La
```

***

No. 6
A plane-wave DFT calculation with PBE was carried out for DyZn6Co6 after structural relaxation.

## Properties
formation enthalpy at 0 K	-159	kJ/mol of formula units
DOS at the Fermi energy	9.92	states/eV per cell

```
DyZn6Co6
1.0
4.904 0.000 0.000
2.452 6.030 -0.081
2.452 0.064 6.031
Dy Zn Co
1 6 6
direct
0.000 0.000 0.000 Dy
0.350 0.650 0.650 Zn
0.650 0.350 0.350 Zn
0.000 0.338 0.662 Zn
0.000 0.662 0.338 Zn
0.299 0.201 0.201 Zn
0.701 0.799 0.799 Zn
0.000 0.500 0.000 Co
0.500 0.500 0.000 Co
0.000 0.000 0.500 Co
0.500 0.000 0.500 Co
0.500 0.765 0.235 Co
0.500 0.235 0.765 Co
```

***

Please write out number 6 again, unchanged.
A plane-wave DFT calculation with PBE was carried out for DyZn6Co6 after structural relaxation.

## Properties
formation enthalpy at 0 K	-159	kJ/mol of formula units
DOS at the Fermi energy	9.92	states/eV per cell

```
DyZn6Co6
1.0
4.904 0.000 0.000
2.452 6.030 -0.081
2.452 0.064 6.031
Dy Zn Co
1 6 6
direct
0.000 0.000 0.000 Dy
0.350 0.650 0.650 Zn
0.650 0.350 0.350 Zn
0.000 0.338 0.662 Zn
0.000 0.662 0.338 Zn
0.299 0.201 0.201 Zn
0.701 0.799 0.799 Zn
0.000 0.500 0.000 Co
0.500 0.500 0.000 Co
0.000 0.000 0.500 Co
0.500 0.000 0.500 Co
0.500 0.765 0.235 Co
0.500 0.235 0.765 Co
```